The following is a GGA-PBE calculation of Cs2GaF2 after structural relaxation, from Alexandria via LeMat-Bulk.

Cell lengths 8.2939, 8.2939, 3.9669 Å; angles 90.00, 90.00, 90.00 degrees
With the nearest neighbours (Å) after each atom.
Space group P4/mbm (No. 127)
Asymmetric unit:
Cs (0.1549, 0.3451, 0.0000) [4 per cell]  6 F 2.96-3.27
Ga (0.0000, 0.0000, 0.5000) [2 per cell]  4 F 3.12
F (0.1579, 0.6579, 0.5000) [4 per cell]  6 Cs 2.96-3.27, 2 Ga 3.12

## Properties
formation energy without anion corrections = -8.47 eV per formula unit
energy = -3.39 eV per atom